(1)
The following is a DFT calculation (PBE-GGA) of a geometry-optimized NaHgN2 structure.

The value obtained for the electronic total energy is -4.580 eV/atom. For the total moment, the calculation gives 0.000 μB/f.u. The crystal system is triclinic.

The space group is P-1 (No. 2) and the conventional cell measures 5.3330, 5.9221 and 6.9062 Å, with angles of 81.34, 67.55 and 65.75 degrees. The inequivalent atoms are Na at (0.1662, 0.2520, 0.1682), Hg at (0.5000, 0.0000, 0.5000), Hg at (0.5000, 0.5000, 0.5000), N at (0.1682, 0.6983, 0.0223) and N at (0.3093, 0.8023, 0.0226).



(2)
The following is a DFT calculation (PBE-GGA) of a geometry-optimized ZnP2I structure.

For the total moment, the calculation gives 0.000 μB/f.u. The crystal system is tetragonal. The relative energy among the computed polymorphs is 0 meV/atom.

The space group is I-42d (No. 122) and the conventional cell measures 5.5659, 5.5659 and 13.4554 Å, with angles of 90.00, 90.00 and 90.00 degrees. The inequivalent atoms are Zn at (0.0000, 0.0000, 0.0000), P at (0.1694, 0.2500, 0.1250) and I at (0.0000, 0.0000, 0.5000).



(3)
The following is a DFT calculation (PBE-GGA) of a geometry-optimized La4ZnCu structure.

For the total moment, the calculation gives 0.001 μB/f.u. The formation energy from the elements is 534 meV/atom. The crystal system is cubic. The relative energy among the computed polymorphs is 671 meV/atom.

The space group is F-43m (No. 216) and the conventional cell measures 9.0416, 9.0416 and 9.0416 Å, with angles of 90.00, 90.00 and 90.00 degrees. The inequivalent atoms are La at (0.1247, 0.1247, 0.1247), Zn at (0.2500, 0.2500, 0.7500) and Cu at (0.0000, 0.0000, 0.5000).



(4)
The following is a DFT calculation (PBE-GGA) of a geometry-optimized AcMg3Pd structure.

For the total moment, the calculation gives 0.000 μB/f.u. The formation energy from the elements is -391 meV/atom. The crystal system is orthorhombic. The relative energy among the computed polymorphs is 0 meV/atom.

The space group is Pnma (No. 62) and the conventional cell measures 9.4740, 4.3641 and 12.2612 Å, with angles of 90.00, 90.00 and 90.00 degrees. The inequivalent atoms are Ac at (0.1795, 0.2500, 0.0113), Mg at (0.0455, 0.2500, 0.4191), Mg at (0.1038, 0.7500, 0.2404), Mg at (0.1479, 0.7500, 0.7801) and Pd at (0.1351, 0.2500, 0.6361).



(5)
The following is a DFT calculation (PBE-GGA) of a geometry-optimized CsSrBr3 structure.

The value obtained for the electronic total energy is -3.501 eV/atom. For the total moment, the calculation gives 0.000 μB/f.u. The crystal system is monoclinic.

The space group is P2_1/m (No. 11) and the conventional cell measures 6.0494, 8.8379 and 8.8326 Å, with angles of 90.00, 109.05 and 90.00 degrees. The inequivalent atoms are Cs at (0.1876, 0.2500, 0.3927), Sr at (0.4906, 0.2500, 0.9750), Br at (0.0164, 0.7500, 0.0392) and Br at (0.3766, 0.5201, 0.7415).



(6)
The following is a DFT calculation (PBE-GGA) of a geometry-optimized PrGa9Ir2 structure.

For the total moment, the calculation gives 0.000 μB/f.u. The formation energy from the elements is -338 meV/atom. The crystal system is tetragonal. The relative energy among the computed polymorphs is 11 meV/atom.

The space group is I4_1/amd (No. 141, origin choice 2) and the conventional cell measures 10.4630, 10.4630 and 7.7095 Å, with angles of 90.00, 90.00 and 90.00 degrees. The inequivalent atoms are Pr at (0.0000, 0.2500, 0.3750), Ga at (0.0000, 0.2500, 0.8750), Ga at (0.1206, 0.0435, 0.6855) and Ir at (0.0000, 0.0000, 0.0000).



(7)
The following is a DFT calculation (PBE-GGA) of a geometry-optimized Cs2PaBr4Cl2 structure.

The value obtained for the electronic total energy is -4.204 eV/atom. For the total moment, the calculation gives 1.007 μB/f.u. The crystal system is monoclinic.

The space group is C2/m (No. 12) and the conventional cell measures 13.5429, 8.0481 and 6.5988 Å, with angles of 90.00, 94.22 and 90.00 degrees. The inequivalent atoms are Cs at (0.1660, 0.0000, 0.2740), Pa at (0.0000, 0.5000, 0.0000), Br at (0.0909, 0.2480, 0.7804) and Cl at (0.1561, 0.5000, 0.2617).



(8)
The following is a DFT calculation (PBE-GGA) of a geometry-optimized ThHgBr3 structure.

The value obtained for the electronic total energy is -3.635 eV/atom. For the total moment, the calculation gives 0.811 μB/f.u. The crystal system is cubic.

The space group is Pm-3m (No. 221) and the conventional cell measures 5.7977, 5.7977 and 5.7977 Å, with angles of 90.00, 90.00 and 90.00 degrees. The inequivalent atoms are Th at (0.0000, 0.0000, 0.0000), Hg at (0.5000, 0.5000, 0.5000) and Br at (0.0000, 0.0000, 0.5000).



(9)
The following is a DFT calculation (PBE-GGA) of a geometry-optimized Zr2USe structure.

The value obtained for the electronic total energy is -7.983 eV/atom. For the total moment, the calculation gives 2.554 μB/f.u. The crystal system is trigonal.

The space group is R-3m (No. 166, hexagonal axes) and the conventional cell measures 3.2349, 3.2349 and 30.0234 Å, with angles of 90.00, 90.00 and 120.00 degrees. The inequivalent atoms are Zr at (0.0000, 0.0000, 0.0995), U at (0.0000, 0.0000, 0.0000) and Se at (0.0000, 0.0000, 0.5000).



Q: What is the formula in the eighth record?
A: ThHgBr3